VASP calculation (PBE) on a relaxed structure of SrTb4Zn5.

Cell: 3.6340 3.6340 18.2609 Å, 90.00 90.00 90.00°
With the nearest neighbours (Å) after each atom.
Fractional coordinates of all 10 atoms:
Zn 0.5000 0.5000 0.8804  4 Tb 3.06, 4 Sr 3.37, 1 Zn 3.41
Zn 0.5000 0.5000 0.6938  8 Tb 3.11-3.12, 1 Zn 3.41
Zn 0.5000 0.5000 0.5000  8 Tb 3.11
Zn 0.5000 0.5000 0.1196  4 Tb 3.06, 4 Sr 3.37, 1 Zn 3.41
Zn 0.5000 0.5000 0.3062  8 Tb 3.11-3.12, 1 Zn 3.41
Sr 0.0000 0.0000 0.0000  8 Zn 3.37, 4 Sr 3.63
Tb 0.0000 0.0000 0.7896  8 Zn 3.06-3.11
Tb 0.0000 0.0000 0.2104  8 Zn 3.06-3.11
Tb 0.0000 0.0000 0.4036  8 Zn 3.11-3.12
Tb 0.0000 0.0000 0.5964  8 Zn 3.11-3.12

Output
* magnetic moment: 0.00 μB per atom
* symmetry: No. 123
* E_form: -302 meV per atom

VASP calculation (PBE) on a relaxed structure of Li2ZrScSe4.

Cell: 3.8095 6.6367 6.8644 Å, 108.63 90.00 90.00°
With the nearest neighbours (Å) after each atom.
Fractional coordinates of all 8 atoms:
Zr 0.5000 0.5000 0.0000  6 Se 2.74
Li 0.5000 0.0000 0.5000  6 Se 2.74-2.75
Li 0.0000 0.5000 0.5000  6 Se 2.75
Se 0.5000 0.7519 0.7529  2 Sc 2.73, 1 Zr 2.74, 3 Li 2.75
Se 0.5000 0.2481 0.2471  2 Sc 2.73, 1 Zr 2.74, 3 Li 2.75
Se 0.0000 0.7512 0.2499  1 Sc 2.73, 3 Li 2.74-2.75, 2 Zr 2.74
Se 0.0000 0.2488 0.7501  1 Sc 2.73, 3 Li 2.74-2.75, 2 Zr 2.74
Sc 0.0000 0.0000 0.0000  6 Se 2.73

Output
* magnetic moment: 0.00 μB per atom
* symmetry: No. 10
* formation energy (no corrections): -33.55 kcal/mol of atoms

VASP calculation (PBE) on a relaxed structure of Li2CePd7.

Cell: 4.4379 6.9416 6.9416 Å, 117.17 90.00 90.00°
With the nearest neighbours (Å) after each atom.
Fractional coordinates of all 10 atoms:
Li 0.5000 0.6970 0.3030  7 Pd 2.33-2.55
Li 0.5000 0.3030 0.6970  7 Pd 2.33-2.55
Pd 0.0000 0.7784 0.2216  2 Li 2.42, 1 Ce 2.63
Pd 0.5000 0.3118 0.0676  2 Li 2.41-2.55, 1 Pd 2.67
Pd 0.5000 0.9324 0.6882  2 Li 2.41-2.55, 1 Pd 2.67
Pd 0.5000 0.6882 0.9324  2 Li 2.41-2.55, 1 Pd 2.67
Pd 0.5000 0.5000 0.5000  2 Li 2.33
Pd 0.0000 0.2216 0.7784  2 Li 2.42, 1 Ce 2.63
Pd 0.5000 0.0676 0.3118  2 Li 2.41-2.55, 1 Pd 2.67
Ce 0.0000 0.0000 0.0000  2 Pd 2.63

Output
* magnetic moment: 0.00 μB per atom
* symmetry: No. 65
* E_form: -73 meV per atom

VASP calculation (PBE) on a relaxed structure of Rb2NpInTe5.

Cell: 4.4708 11.0416 15.5557 Å, 90.00 90.00 101.68°
With the nearest neighbours (Å) after each atom.
Fractional coordinates of all 18 atoms:
In 0.5625 0.1250 0.9267  4 Te 2.73-2.92
In 0.4375 0.8750 0.4267  4 Te 2.73-2.92
Te 0.6986 0.3971 0.1504  2 Np 3.00
Te 0.4980 0.9961 0.2730  1 In 2.73
Te 0.5020 0.0039 0.7730  1 In 2.73
Te 0.9454 0.8907 0.5435  2 In 2.89, 1 Np 3.15
Te 0.6685 0.3370 0.5089  1 Np 2.87
Te 0.3014 0.6029 0.6504  2 Np 3.00
Te 0.3058 0.6116 0.3847  1 In 2.92, 2 Np 3.09
Te 0.6942 0.3884 0.8847  1 In 2.92, 2 Np 3.09
Te 0.3315 0.6630 0.0089  1 Np 2.87
Te 0.0546 0.1093 0.0435  2 In 2.89, 1 Np 3.15
Rb 0.1262 0.2523 0.6904  7 Te 3.72-4.04
Rb 0.8738 0.7477 0.1904  7 Te 3.72-4.04
Rb 0.1283 0.2567 0.3246  7 Te 3.69-3.95
Rb 0.8717 0.7433 0.8246  7 Te 3.69-3.95
Np 0.8007 0.6014 0.5219  6 Te 2.87-3.15
Np 0.1993 0.3986 0.0219  6 Te 2.87-3.15

Output
* magnetic moment: 0.24 μB per atom
* symmetry: No. 36
* formation energy (no corrections): -15.08 kcal/mol of atoms

VASP calculation (PBE) on a relaxed structure of PrLuHgPt.

Cell: 5.1537 5.1537 5.1537 Å, 60.00 60.00 60.00°
With the nearest neighbours (Å) after each atom.
Fractional coordinates of all 4 atoms:
Pr 0.5000 0.5000 0.5000  4 Pt 3.16, 4 Hg 3.16
Lu 0.0000 0.0000 0.0000  4 Hg 3.16, 4 Pt 3.16
Hg 0.2500 0.2500 0.2500  4 Pr 3.16, 4 Lu 3.16
Pt 0.7500 0.7500 0.7500  4 Lu 3.16, 4 Pr 3.16

Output
* magnetic moment: 0.00 μB per atom
* symmetry: No. 216
* E_form: -743 meV per atom

VASP calculation (PBE) on a relaxed structure of CaLaCd2.

Cell: 5.5441 3.8461 5.5432 Å, 90.00 90.00 90.00°
With the nearest neighbours (Å) after each atom.
Fractional coordinates of all 4 atoms:
Ca 0.5000 0.6253 0.8754  8 Cd 3.37-3.38
Cd 0.0000 0.1249 0.8743  4 La 3.37, 4 Ca 3.37
Cd 0.5000 0.1250 0.3759  4 Ca 3.37-3.38, 4 La 3.37
La 0.0000 0.6248 0.3744  8 Cd 3.37

Output
* magnetic moment: 0.00 μB per atom
* symmetry: No. 25
* E_form: -358 meV per atom

VASP calculation (PBE) on a relaxed structure of La6Pr5Ho2.

Cell: 3.7030 11.8520 21.5025 Å, 90.00 90.00 90.00°
With the nearest neighbours (Å) after each atom.
Fractional coordinates of all 26 atoms:
La 0.0000 0.2169 0.0530  5 La 3.69-3.92, 6 Pr 3.75-4.00
La 0.0000 0.7831 0.9470  5 La 3.69-3.92, 6 Pr 3.75-4.00
La 0.0000 0.3292 0.8816  1 Ho 3.35, 4 La 3.56-3.70, 2 Pr 3.74
La 0.5000 0.0797 0.6501  2 Pr 3.36-3.50, 2 Ho 3.48, 6 La 3.56-3.70
La 0.0000 0.8292 0.6184  1 Ho 3.35, 4 La 3.56-3.70, 2 Pr 3.74
La 0.0000 0.6708 0.1184  1 Ho 3.35, 4 La 3.56-3.70, 2 Pr 3.74
La 0.0000 0.2831 0.5530  5 La 3.69-3.92, 6 Pr 3.75-4.00
La 0.5000 0.4203 0.1501  2 Pr 3.36-3.50, 2 Ho 3.48, 6 La 3.56-3.70
La 0.5000 0.9203 0.3499  2 Pr 3.36-3.50, 2 Ho 3.48, 6 La 3.56-3.70
La 0.5000 0.5797 0.8499  2 Pr 3.36-3.50, 2 Ho 3.48, 6 La 3.56-3.70
La 0.0000 0.1708 0.3816  1 Ho 3.35, 4 La 3.56-3.70, 2 Pr 3.74
La 0.0000 0.7169 0.4470  5 La 3.69-3.92, 6 Pr 3.75-4.00
Pr 0.5000 0.0000 0.5000  6 La 3.36-3.74, 2 Pr 3.70
Pr 0.5000 0.1547 0.2214  4 La 3.50-3.92, 4 Ho 3.60-3.68, 2 Pr 3.70
Pr 0.5000 0.5000 0.0000  6 La 3.36-3.74, 2 Pr 3.70
Pr 0.5000 0.3453 0.7214  4 La 3.50-3.92, 4 Ho 3.60-3.68, 2 Pr 3.70
Pr 0.5000 0.0552 0.9235  2 Ho 3.53, 3 Pr 3.54-3.70, 6 La 3.75-3.85
Pr 0.5000 0.4448 0.4235  2 Ho 3.53, 3 Pr 3.54-3.70, 6 La 3.75-3.85
Pr 0.5000 0.5552 0.5765  2 Ho 3.53, 3 Pr 3.54-3.70, 6 La 3.75-3.85
Pr 0.5000 0.8453 0.7786  4 La 3.50-3.92, 4 Ho 3.60-3.68, 2 Pr 3.70
Pr 0.5000 0.9448 0.0765  2 Ho 3.53, 3 Pr 3.54-3.70, 6 La 3.75-3.85
Pr 0.5000 0.6547 0.2786  4 La 3.50-3.92, 4 Ho 3.60-3.68, 2 Pr 3.70
Ho 0.0000 0.3951 0.2865  3 La 3.35-3.48, 6 Pr 3.53-3.68, 2 Ho 3.70
Ho 0.0000 0.1049 0.7865  3 La 3.35-3.48, 6 Pr 3.53-3.68, 2 Ho 3.70
Ho 0.0000 0.8951 0.2135  3 La 3.35-3.48, 6 Pr 3.53-3.68, 2 Ho 3.70
Ho 0.0000 0.6049 0.7135  3 La 3.35-3.48, 6 Pr 3.53-3.68, 2 Ho 3.70

Output
* magnetic moment: 0.00 μB per atom
* symmetry: No. 55
* E_form: 62 meV per atom

VASP calculation (PBE) on a relaxed structure of LaSb3Pb.

Cell: 5.6992 5.6992 5.6992 Å, 90.00 90.00 90.00°
With the nearest neighbours (Å) after each atom.
Fractional coordinates of all 5 atoms:
Sb 0.5000 0.0000 0.0000  2 Pb 2.85
Sb 0.0000 0.0000 0.5000  2 Pb 2.85
Sb 0.0000 0.5000 0.0000  2 Pb 2.85
La 0.5000 0.5000 0.5000  12 Sb 4.03
Pb 0.0000 0.0000 0.0000  6 Sb 2.85

Output
* magnetic moment: 0.00 μB per atom
* symmetry: No. 221
* formation energy (no corrections): 7.34 kcal/mol of atoms

The calculation returns the following calculated volume values, one per record and in order: 241.2; 164.5; 190.3; 752.0; 96.8; 118.2; 943.7; 185.1 Å³ per cell.